A plane-wave DFT calculation with PBE-GGA was carried out for a relaxed Rb2Pu2NiS6 crystal.

```
Rb2Pu2NiS6
1.0
3.349 -5.762 0.000
3.349 5.762 0.000
-2.220 0.000 7.854
Rb Pu Ni S
2 2 1 6
direct
0.166 0.834 0.000
0.834 0.166 0.000
0.333 0.667 0.500
0.667 0.333 0.500
0.000 0.000 0.500
0.060 0.382 0.680
0.257 0.257 0.323
0.382 0.060 0.680
0.618 0.940 0.320
0.743 0.743 0.677
0.940 0.618 0.320
```

Calculated volume: 27.55 Å³/atom
Magnetic moment: 5.9 Bohr magnetons per cell
E_form (uncorrected): -108.7 kJ per mole of atoms